Computed, not measured: a relaxed structure of Pr2NpS4 at the PBE level of DFT.

Summary:
DFT total energy	-7.33	eV/atom
raw formation energy	-40.47	kcal/mol of atoms

Cell: 7.0589 7.0589 13.3501 Å, 90.00 90.00 147.46°
Positions (direct):
Pr 0.1318 0.8682 0.5712
Pr 0.1318 0.8682 0.9288
Pr 0.8682 0.1318 0.0712
Pr 0.8682 0.1318 0.4288
Np 0.3761 0.6239 0.7500
Np 0.6239 0.3761 0.2500
S 0.0201 0.9799 0.7500
S 0.2230 0.7770 0.1271
S 0.2230 0.7770 0.3729
S 0.5000 0.5000 0.0000
S 0.5000 0.5000 0.5000
S 0.7770 0.2230 0.6271
S 0.7770 0.2230 0.8729
S 0.9799 0.0201 0.2500

Computed, not measured: a relaxed structure of Zn2Co2Ag at the PBE level of DFT.

Summary:
DFT total energy	-3.69	eV/atom
ΔE to the lowest computed polymorph	0.089	eV/atom
formation energy	0.231	eV/atom

Cell: 7.0137 7.0137 7.0137 Å, 152.44 152.44 39.37°
Positions (direct):
Zn 0.1052 0.1052 0.0000
Zn 0.8948 0.8948 0.0000
Co 0.2500 0.7500 0.5000
Co 0.7500 0.2500 0.5000
Ag 0.5000 0.5000 0.0000

Computed, not measured: a relaxed structure of Fe2SbPb at the PBE level of DFT.

Summary:
DFT total energy	-5.46	eV/atom
ΔE to the lowest computed polymorph	0.529	eV/atom
raw formation energy	16.79	kcal/mol of atoms

Cell: 6.0706 6.0706 6.0706 Å, 105.44 105.44 117.87°
Positions (direct):
Fe 0.1037 0.6250 0.9787
Fe 0.3750 0.3537 0.4787
Fe 0.6463 0.1250 0.0213
Fe 0.8750 0.8963 0.5213
Sb 0.0000 0.0000 0.0000
Sb 0.7500 0.2500 0.5000
Pb 0.2500 0.7500 0.5000
Pb 0.5000 0.5000 0.0000

Computed, not measured: a relaxed structure of TlGa2Ge at the PBE level of DFT.

Summary:
DFT total energy	-3.08	eV/atom
ΔE to the lowest computed polymorph	0.088	eV/atom
formation energy	0.182	eV/atom

Cell: 4.7142 4.7142 3.9947 Å, 90.00 90.00 90.00°
Positions (direct):
Tl 0.0000 0.0000 0.0000
Ga 0.0000 0.5000 0.5000
Ga 0.5000 0.0000 0.5000
Ge 0.5000 0.5000 0.0000